No. 1
First-principles (GGA-PBE) data for SnBSbI2 after structural relaxation, as listed in Alexandria.

The structure in extended XYZ format:
```
5
Lattice="-0.774 5.908 0.980 -5.754 -0.460 -1.773 -1.629 -1.140 5.582" Properties=species:S:1:pos:R:3 pbc="T T T"
Sb -0.814 -0.570 2.791
I -0.387 2.954 0.490
Sn 0.000 0.000 0.000
B -4.079 2.154 2.394
I -2.877 -0.230 -0.887
```

Values from the calculation:
Energy above the lowest structure with this stoichiometry ... 559 meV per atom
Density of states at the Fermi level ... 4.96 states/eV/f.u.
ρ ... 3.881 g/cm³

=====

No. 2
First-principles (GGA-PBE) data for SnBSb2I after structural relaxation, as listed in Alexandria.

The structure in extended XYZ format:
```
5
Lattice="5.720 0.000 0.000 0.000 5.720 0.000 0.000 0.000 6.052" Properties=species:S:1:pos:R:3 pbc="T T T"
B 2.860 2.860 3.026
Sb 0.000 2.860 0.000
Sb 2.860 0.000 0.000
Sn 0.000 0.000 0.000
I 0.000 0.000 3.026
```

Values from the calculation:
Energy above the lowest structure with this stoichiometry ... 814 meV per atom
Density of states at the Fermi level ... 5.68 states/eV/f.u.
ρ ... 4.193 g/cm³

=====

No. 3
First-principles (GGA-PBE) data for SnBSbI2 after structural relaxation, as listed in Alexandria.

The structure in extended XYZ format:
```
5
Lattice="5.146 0.000 0.000 0.000 5.146 0.000 0.000 0.000 5.052" Properties=species:S:1:pos:R:3 pbc="T T T"
B 0.000 0.000 0.000
Sn 2.573 2.573 2.526
Sb 0.000 0.000 2.526
I 0.000 2.573 0.000
I 2.573 0.000 0.000
```

Values from the calculation:
Energy above the lowest structure with this stoichiometry ... 0 meV per atom
Density of states at the Fermi level ... 2.88 states/eV/f.u.
ρ ... 6.271 g/cm³

=====

No. 4
First-principles (GGA-PBE) data for SnBSb2I after structural relaxation, as listed in Alexandria.

The structure in extended XYZ format:
```
5
Lattice="-2.366 -0.411 4.398 4.337 -1.159 2.225 0.827 4.815 0.895" Properties=species:S:1:pos:R:3 pbc="T T T"
Sb 2.169 -0.579 1.113
B 0.000 0.000 0.000
Sn 1.399 1.623 3.759
I 0.414 2.407 0.448
Sb -1.183 -0.206 2.199
```

Values from the calculation:
Energy above the lowest structure with this stoichiometry ... 0 meV per atom
Density of states at the Fermi level ... 3.64 states/eV/f.u.
ρ ... 6.658 g/cm³

=====

No. 5
First-principles (GGA-PBE) data for SrBSbI2 after structural relaxation, as listed in Alexandria.

The structure in extended XYZ format:
```
5
Lattice="-1.047 -3.913 3.846 3.363 -3.552 -2.698 3.711 1.549 2.587" Properties=species:S:1:pos:R:3 pbc="T T T"
I 1.682 -1.776 -1.349
Sb 1.856 0.774 1.293
I -0.524 -1.957 1.923
B 0.000 0.000 0.000
Sr 3.013 -2.958 1.867
```

Values from the calculation:
Energy above the lowest structure with this stoichiometry ... 0 meV per atom
Density of states at the Fermi level ... 3.94 states/eV/f.u.
ρ ... 5.276 g/cm³

=====

No. 6
First-principles (GGA-PBE) data for SrBSbI2 after structural relaxation, as listed in Alexandria.

The structure in extended XYZ format:
```
5
Lattice="6.302 0.000 0.000 0.000 6.675 0.000 0.000 0.000 6.302" Properties=species:S:1:pos:R:3 pbc="T T T"
I 0.000 0.000 3.151
I 3.151 0.000 0.000
Sb 0.000 3.337 0.000
Sr 0.000 0.000 0.000
B 3.151 3.337 3.151
```

Values from the calculation:
Energy above the lowest structure with this stoichiometry ... 707 meV per atom
Density of states at the Fermi level ... 5.58 states/eV/f.u.
ρ ... 2.970 g/cm³

=====

No. 7
First-principles (GGA-PBE) data for TaBSbI2 after structural relaxation, as listed in Alexandria.

The structure in extended XYZ format:
```
5
Lattice="-2.151 -2.378 4.496 -4.290 -1.773 -2.990 2.701 -4.606 -1.144" Properties=species:S:1:pos:R:3 pbc="T T T"
Sb 1.351 -2.303 -0.572
B -1.870 -4.379 0.181
I -1.075 -1.189 2.248
I -2.145 -0.887 -1.495
Ta 0.000 0.000 0.000
```

Values from the calculation:
Energy above the lowest structure with this stoichiometry ... 0 meV per atom
Density of states at the Fermi level ... 3.87 states/eV/f.u.
ρ ... 5.657 g/cm³

=====

No. 8
First-principles (GGA-PBE) data for TaBSbI2 after structural relaxation, as listed in Alexandria.

The structure in extended XYZ format:
```
5
Lattice="4.870 0.000 0.000 0.000 4.870 0.000 0.000 0.000 4.893" Properties=species:S:1:pos:R:3 pbc="T T T"
B 0.000 0.000 0.000
Sb 0.000 0.000 2.447
I 2.435 0.000 0.000
Ta 2.435 2.435 2.447
I 0.000 2.435 0.000
```

Values from the calculation:
Energy above the lowest structure with this stoichiometry ... 61 meV per atom
Density of states at the Fermi level ... 3.54 states/eV/f.u.
ρ ... 8.118 g/cm³

=====

In the order shown, the computed DFT total energy values come out to -2.332; -2.559; -2.890; -3.373; -3.035; -2.328; -3.823; -3.761 eV per atom.
In the order shown, the computed uncorrected formation energy values come out to 1.25; 1.54; 0.69; 0.72; 0.08; 0.79; 1.33; 1.39 eV/atom.